No. 1
Li2TaMo | GGA-PBE | optimized geometry

Geometry as POSCAR:
```
Li2TaMo
1.0
5.4960 -1.4928 0.0000
5.4960 1.4928 0.0000
-1.6725 0.0000 4.0180
Li Ta Mo
2 1 1
direct
0.2439 0.2439 0.2435 Li
0.7561 0.7561 0.7565 Li
0.0000 0.0000 0.5000 Ta
0.5000 0.5000 0.0000 Mo
```

## Properties
Its density of states at the Fermi level is 2.38 states/eV/f.u. The symmetry is C2/m (12). The value obtained for the calculated formation energy is 0.3325 eV/atom. The calculation puts the energy relative to the lowest polymorph listed for this composition at 135 meV/atom.



No. 2
Li2TaMo | GGA-PBE | optimized geometry

Geometry as POSCAR:
```
Li2TaMo
1.0
3.3952 0.0000 0.0000
0.0000 3.3952 0.0000
0.0000 0.0000 5.1584
Li Ta Mo
2 1 1
direct
0.0000 0.0000 0.2352 Li
0.0000 0.0000 0.7648 Li
0.5000 0.5000 0.5000 Ta
0.5000 0.5000 0.0000 Mo
```

## Properties
Its density of states at the Fermi level is 3.54 states/eV/f.u. The symmetry is P4/mmm (123). The value obtained for the calculated formation energy is 0.7154 eV/atom. The calculation puts the energy relative to the lowest polymorph listed for this composition at 517 meV/atom.



No. 3
LiTaMo2 | GGA-PBE | optimized geometry

Geometry as POSCAR:
```
LiTaMo2
1.0
2.7367 -4.5170 0.0000
2.7367 4.5170 0.0000
0.0000 0.0000 2.6136
Li Ta Mo
1 1 2
direct
0.0000 0.0000 0.0000 Li
0.5000 0.5000 0.0000 Ta
0.0000 0.5000 0.5000 Mo
0.5000 0.0000 0.5000 Mo
```

## Properties
Its density of states at the Fermi level is 3.87 states/eV/f.u. The symmetry is Cmmm (65). The value obtained for the calculated formation energy is 0.3406 eV/atom. The calculation puts the energy relative to the lowest polymorph listed for this composition at 129 meV/atom.



No. 4
LiTa2Mo | GGA-PBE | optimized geometry

Geometry as POSCAR:
```
LiTa2Mo
1.0
-3.5429 3.5429 2.7272
3.5429 -3.5429 2.7272
3.5429 3.5429 -2.7272
Li Ta Mo
2 4 2
direct
0.0000 0.0000 0.0000 Li
0.7500 0.2500 0.5000 Li
0.1186 0.6250 0.9936 Ta
0.3750 0.3686 0.4936 Ta
0.6314 0.1250 0.0064 Ta
0.8750 0.8814 0.5064 Ta
0.2500 0.7500 0.5000 Mo
0.5000 0.5000 0.0000 Mo
```

## Properties
Its density of states at the Fermi level is 1.37 states/eV/f.u. The symmetry is I-42d (122). The value obtained for the calculated formation energy is 0.7677 eV/atom. The calculation puts the energy relative to the lowest polymorph listed for this composition at 593 meV/atom.



No. 5
Li2TaMo | GGA-PBE | optimized geometry

Geometry as POSCAR:
```
Li2TaMo
1.0
4.6504 -1.2932 0.0000
4.6504 1.2932 0.0000
-0.4914 0.0000 5.5214
Li Ta Mo
2 1 1
direct
0.0000 0.0000 0.0000 Li
0.7459 0.7459 0.2374 Li
0.2461 0.2461 0.7228 Ta
0.4972 0.4972 0.5059 Mo
```

## Properties
Its density of states at the Fermi level is 3.44 states/eV/f.u. The symmetry is Cm (8). The value obtained for the calculated formation energy is 0.4630 eV/atom. The calculation puts the energy relative to the lowest polymorph listed for this composition at 265 meV/atom.



No. 6
Li3TaMo | GGA-PBE | optimized geometry

Geometry as POSCAR:
```
Li3TaMo
1.0
4.3353 0.0000 0.0000
0.0000 4.3353 0.0000
0.0000 0.0000 4.3353
Li Ta Mo
3 1 1
direct
0.0000 0.0000 0.5000 Li
0.0000 0.5000 0.0000 Li
0.5000 0.0000 0.0000 Li
0.5000 0.5000 0.5000 Ta
0.0000 0.0000 0.0000 Mo
```

## Properties
Its density of states at the Fermi level is 5.06 states/eV/f.u. The symmetry is Pm-3m (221). The value obtained for the calculated formation energy is 1.8231 eV/atom. The calculation puts the energy relative to the lowest polymorph listed for this composition at 0 meV/atom.